This record from Alexandria describes a relaxed LiInAg crystal. The functional is PBE.

abc: 3.1083 3.1083 7.1138
angles: 90.00 90.00 120.00
Last column: nearest neighbours and their distance in Å.
Fractional coordinates of all 3 atoms:
Li1 0.0000 0.0000 0.0000  3 Ag 2.81, 3 In 3.04, 6 Li 3.11
In1 0.3333 0.6667 0.6547  3 Li 3.04, 3 Ag 3.08, 6 In 3.11
Ag1 0.6667 0.3333 0.3030  3 Li 2.81, 3 In 3.08, 6 Ag 3.11

Calculated values
symmetry = P3m1, No. 156
total DFT energy (no corrections) = -2.579 eV per atom
calculated formation energy = -7.5 kJ per mole of atoms